No. 1
# PBE SiP2Pb, optimized geometry
data_SiP2Pb
_chemical_formula_sum 'Si3 P6 Pb3'
_space_group_name_H-M_alt 'P 1'
_space_group_IT_number 1
_space_group_name_Hall 'P 1'
_cell_length_a 3.6874
_cell_length_b 3.6874
_cell_length_c 19.9105
_cell_angle_alpha 90.00
_cell_angle_beta 90.00
_cell_angle_gamma 120.00
loop_
_atom_site_label
_atom_site_fract_x
_atom_site_fract_y
_atom_site_fract_z
Si1 0.0000 0.0000 0.0000
Si2 0.3333 0.6667 0.6667
Si3 0.6667 0.3333 0.3333
P1 0.0000 0.0000 0.2717
P2 0.0000 0.0000 0.7283
P3 0.3333 0.6667 0.3949
P4 0.3333 0.6667 0.9384
P5 0.6667 0.3333 0.0616
P6 0.6667 0.3333 0.6051
Pb1 0.0000 0.0000 0.5000
Pb2 0.3333 0.6667 0.1667
Pb3 0.6667 0.3333 0.8333
# E_form (uncorrected): 108 meV/atom
# spin magnetization: 0.00 μB per atom
# energy relative to the lowest polymorph listed for this composition: 45 kJ/mol of formula units

=====

No. 2
# PBE SiP2Pb, optimized geometry
data_SiP2Pb
_chemical_formula_sum 'Si2 P4 Pb2'
_space_group_name_H-M_alt 'P 1'
_space_group_IT_number 1
_space_group_name_Hall 'P 1'
_cell_length_a 6.2817
_cell_length_b 6.9614
_cell_length_c 3.5572
_cell_angle_alpha 90.00
_cell_angle_beta 90.00
_cell_angle_gamma 90.00
loop_
_atom_site_label
_atom_site_fract_x
_atom_site_fract_y
_atom_site_fract_z
Si1 0.0000 0.0000 0.0000
Si2 0.5000 0.5000 0.0000
P1 0.2500 0.2500 0.5000
P2 0.2500 0.7500 0.5000
P3 0.7500 0.2500 0.5000
P4 0.7500 0.7500 0.5000
Pb1 0.0000 0.5000 0.0000
Pb2 0.5000 0.0000 0.0000
# E_form (uncorrected): 690 meV/atom
# spin magnetization: 0.00 μB per atom
# energy relative to the lowest polymorph listed for this composition: 270 kJ/mol of formula units

=====

No. 3
# PBE SiP2Pb, optimized geometry
data_SiP2Pb
_chemical_formula_sum 'Si1 P2 Pb1'
_space_group_name_H-M_alt 'P 1'
_space_group_IT_number 1
_space_group_name_Hall 'P 1'
_cell_length_a 3.2368
_cell_length_b 4.9954
_cell_length_c 5.3666
_cell_angle_alpha 90.00
_cell_angle_beta 91.89
_cell_angle_gamma 90.00
loop_
_atom_site_label
_atom_site_fract_x
_atom_site_fract_y
_atom_site_fract_z
Si1 0.0000 0.0000 0.0000
P1 0.2434 0.5000 0.8581
P2 0.7566 0.5000 0.1419
Pb1 0.5000 0.0000 0.5000
# E_form (uncorrected): 353 meV/atom
# spin magnetization: 0.00 μB per atom
# energy relative to the lowest polymorph listed for this composition: 140 kJ/mol of formula units

=====

No. 4
# PBE SiP2Pb, optimized geometry
data_SiP2Pb
_chemical_formula_sum 'Si1 P2 Pb1'
_space_group_name_H-M_alt 'P 1'
_space_group_IT_number 1
_space_group_name_Hall 'P 1'
_cell_length_a 3.8411
_cell_length_b 3.8677
_cell_length_c 5.4301
_cell_angle_alpha 90.00
_cell_angle_beta 90.41
_cell_angle_gamma 90.00
loop_
_atom_site_label
_atom_site_fract_x
_atom_site_fract_y
_atom_site_fract_z
Si1 0.0000 0.0000 0.0000
P1 0.0000 0.0000 0.5000
P2 0.5000 0.5000 0.0000
Pb1 0.5000 0.5000 0.5000
# E_form (uncorrected): 358 meV/atom
# spin magnetization: 0.00 μB per atom
# energy relative to the lowest polymorph listed for this composition: 142 kJ/mol of formula units

=====

No. 5
# PBE Si2PPb, optimized geometry
data_Si2PPb
_chemical_formula_sum 'Si6 P3 Pb3'
_space_group_name_H-M_alt 'P 1'
_space_group_IT_number 1
_space_group_name_Hall 'P 1'
_cell_length_a 3.5803
_cell_length_b 3.5803
_cell_length_c 21.8102
_cell_angle_alpha 90.00
_cell_angle_beta 90.00
_cell_angle_gamma 120.00
loop_
_atom_site_label
_atom_site_fract_x
_atom_site_fract_y
_atom_site_fract_z
Si1 0.0000 0.0000 0.2283
Si2 0.0000 0.0000 0.7717
Si3 0.3333 0.6667 0.4384
Si4 0.3333 0.6667 0.8949
Si5 0.6667 0.3333 0.1051
Si6 0.6667 0.3333 0.5616
P1 0.0000 0.0000 0.5000
P2 0.3333 0.6667 0.1667
P3 0.6667 0.3333 0.8333
Pb1 0.0000 0.0000 0.0000
Pb2 0.3333 0.6667 0.6667
Pb3 0.6667 0.3333 0.3333
# E_form (uncorrected): 298 meV/atom
# spin magnetization: 0.00 μB per atom
# energy relative to the lowest polymorph listed for this composition: 20 kJ/mol of formula units

=====

No. 6
# PBE SiP2Pb, optimized geometry
data_SiP2Pb
_chemical_formula_sum 'Si4 P8 Pb4'
_space_group_name_H-M_alt 'P 1'
_space_group_IT_number 1
_space_group_name_Hall 'P 1'
_cell_length_a 6.7272
_cell_length_b 6.7272
_cell_length_c 6.7272
_cell_angle_alpha 90.00
_cell_angle_beta 90.00
_cell_angle_gamma 90.00
loop_
_atom_site_label
_atom_site_fract_x
_atom_site_fract_y
_atom_site_fract_z
Si1 0.0000 0.0000 0.0000
Si2 0.0000 0.5000 0.5000
Si3 0.5000 0.0000 0.5000
Si4 0.5000 0.5000 0.0000
P1 0.0000 0.0000 0.5000
P2 0.0000 0.5000 0.0000
P3 0.2500 0.2500 0.2500
P4 0.2500 0.7500 0.7500
P5 0.5000 0.0000 0.0000
P6 0.5000 0.5000 0.5000
P7 0.7500 0.2500 0.7500
P8 0.7500 0.7500 0.2500
Pb1 0.2500 0.2500 0.7500
Pb2 0.2500 0.7500 0.2500
Pb3 0.7500 0.2500 0.2500
Pb4 0.7500 0.7500 0.7500
# E_form (uncorrected): 790 meV/atom
# spin magnetization: 0.00 μB per atom
# energy relative to the lowest polymorph listed for this composition: 309 kJ/mol of formula units

=====

No. 7
# PBE Si2PPb, optimized geometry
data_Si2PPb
_chemical_formula_sum 'Si4 P2 Pb2'
_space_group_name_H-M_alt 'P 1'
_space_group_IT_number 1
_space_group_name_Hall 'P 1'
_cell_length_a 3.4434
_cell_length_b 5.5566
_cell_length_c 8.5209
_cell_angle_alpha 90.00
_cell_angle_beta 90.00
_cell_angle_gamma 90.00
loop_
_atom_site_label
_atom_site_fract_x
_atom_site_fract_y
_atom_site_fract_z
Si1 0.0000 0.0000 0.1939
Si2 0.0000 0.0000 0.8061
Si3 0.5000 0.5000 0.1939
Si4 0.5000 0.5000 0.8061
P1 0.0000 0.5000 0.0000
P2 0.5000 0.0000 0.0000
Pb1 0.0000 0.5000 0.5000
Pb2 0.5000 0.0000 0.5000
# E_form (uncorrected): 532 meV/atom
# spin magnetization: 0.00 μB per atom
# energy relative to the lowest polymorph listed for this composition: 111 kJ/mol of formula units

=====

No. 8
# PBE Si2PPb, optimized geometry
data_Si2PPb
_chemical_formula_sum 'Si2 P1 Pb1'
_space_group_name_H-M_alt 'P 1'
_space_group_IT_number 1
_space_group_name_Hall 'P 1'
_cell_length_a 4.6993
_cell_length_b 4.6993
_cell_length_c 3.5641
_cell_angle_alpha 90.00
_cell_angle_beta 90.00
_cell_angle_gamma 90.00
loop_
_atom_site_label
_atom_site_fract_x
_atom_site_fract_y
_atom_site_fract_z
Si1 0.0000 0.5000 0.0000
Si2 0.5000 0.0000 0.0000
P1 0.0000 0.0000 0.5000
Pb1 0.5000 0.5000 0.5000
# E_form (uncorrected): 732 meV/atom
# spin magnetization: 0.00 μB per atom
# energy relative to the lowest polymorph listed for this composition: 188 kJ/mol of formula units

=====

No. 9
# PBE Si2PPb, optimized geometry
data_Si2PPb
_chemical_formula_sum 'Si8 P4 Pb4'
_space_group_name_H-M_alt 'P 1'
_space_group_IT_number 1
_space_group_name_Hall 'P 1'
_cell_length_a 6.3724
_cell_length_b 6.3724
_cell_length_c 9.2301
_cell_angle_alpha 90.00
_cell_angle_beta 90.00
_cell_angle_gamma 90.00
loop_
_atom_site_label
_atom_site_fract_x
_atom_site_fract_y
_atom_site_fract_z
Si1 0.1898 0.2500 0.1250
Si2 0.2500 0.6898 0.3750
Si3 0.2500 0.8102 0.8750
Si4 0.3102 0.2500 0.6250
Si5 0.6898 0.7500 0.6250
Si6 0.7500 0.1898 0.8750
Si7 0.7500 0.3102 0.3750
Si8 0.8102 0.7500 0.1250
P1 0.0000 0.0000 0.0000
P2 0.0000 0.5000 0.2500
P3 0.5000 0.0000 0.7500
P4 0.5000 0.5000 0.5000
Pb1 0.0000 0.0000 0.5000
Pb2 0.0000 0.5000 0.7500
Pb3 0.5000 0.0000 0.2500
Pb4 0.5000 0.5000 0.0000
# E_form (uncorrected): 342 meV/atom
# spin magnetization: 0.00 μB per atom
# energy relative to the lowest polymorph listed for this composition: 37 kJ/mol of formula units

=====

No. 10
# PBE Si2PPb, optimized geometry
data_Si2PPb
_chemical_formula_sum 'Si2 P1 Pb1'
_space_group_name_H-M_alt 'P 1'
_space_group_IT_number 1
_space_group_name_Hall 'P 1'
_cell_length_a 3.9336
_cell_length_b 4.6912
_cell_length_c 4.6081
_cell_angle_alpha 90.00
_cell_angle_beta 95.10
_cell_angle_gamma 90.00
loop_
_atom_site_label
_atom_site_fract_x
_atom_site_fract_y
_atom_site_fract_z
Si1 0.2288 0.0000 0.3507
Si2 0.7712 0.0000 0.6493
P1 0.0000 0.5000 0.5000
Pb1 0.5000 0.5000 0.0000
# E_form (uncorrected): 403 meV/atom
# spin magnetization: 0.00 μB per atom
# energy relative to the lowest polymorph listed for this composition: 61 kJ/mol of formula units

=====

No. 11
# PBE Si2PPb, optimized geometry
data_Si2PPb
_chemical_formula_sum 'Si8 P4 Pb4'
_space_group_name_H-M_alt 'P 1'
_space_group_IT_number 1
_space_group_name_Hall 'P 1'
_cell_length_a 6.7789
_cell_length_b 6.7789
_cell_length_c 6.7789
_cell_angle_alpha 90.00
_cell_angle_beta 90.00
_cell_angle_gamma 90.00
loop_
_atom_site_label
_atom_site_fract_x
_atom_site_fract_y
_atom_site_fract_z
Si1 0.0000 0.0000 0.0000
Si2 0.0000 0.5000 0.5000
Si3 0.2500 0.2500 0.2500
Si4 0.2500 0.7500 0.7500
Si5 0.5000 0.0000 0.5000
Si6 0.5000 0.5000 0.0000
Si7 0.7500 0.2500 0.7500
Si8 0.7500 0.7500 0.2500
P1 0.0000 0.0000 0.5000
P2 0.0000 0.5000 0.0000
P3 0.5000 0.0000 0.0000
P4 0.5000 0.5000 0.5000
Pb1 0.2500 0.2500 0.7500
Pb2 0.2500 0.7500 0.2500
Pb3 0.7500 0.2500 0.2500
Pb4 0.7500 0.7500 0.7500
# E_form (uncorrected): 686 meV/atom
# spin magnetization: 0.00 μB per atom
# energy relative to the lowest polymorph listed for this composition: 170 kJ/mol of formula units

=====

No. 12
# PBE SiP2Pb, optimized geometry
data_SiP2Pb
_chemical_formula_sum 'Si2 P4 Pb2'
_space_group_name_H-M_alt 'P 1'
_space_group_IT_number 1
_space_group_name_Hall 'P 1'
_cell_length_a 9.8636
_cell_length_b 3.3809
_cell_length_c 5.5301
_cell_angle_alpha 90.00
_cell_angle_beta 110.45
_cell_angle_gamma 90.00
loop_
_atom_site_label
_atom_site_fract_x
_atom_site_fract_y
_atom_site_fract_z
Si1 0.0000 0.0000 0.0000
Si2 0.5000 0.5000 0.0000
P1 0.1799 0.5000 0.0797
P2 0.3201 0.0000 0.9203
P3 0.6799 0.0000 0.0797
P4 0.8201 0.5000 0.9203
Pb1 0.0000 0.5000 0.5000
Pb2 0.5000 0.0000 0.5000
# E_form (uncorrected): 301 meV/atom
# spin magnetization: 0.00 μB per atom
# energy relative to the lowest polymorph listed for this composition: 120 kJ/mol of formula units

=====

No. 13
# PBE SiP2Pb4, optimized geometry
data_SiP2Pb4
_chemical_formula_sum 'Si2 P4 Pb8'
_space_group_name_H-M_alt 'P 1'
_space_group_IT_number 1
_space_group_name_Hall 'P 1'
_cell_length_a 7.3935
_cell_length_b 11.9051
_cell_length_c 4.3686
_cell_angle_alpha 90.00
_cell_angle_beta 90.00
_cell_angle_gamma 90.00
loop_
_atom_site_label
_atom_site_fract_x
_atom_site_fract_y
_atom_site_fract_z
Si1 0.0000 0.0000 0.0000
Si2 0.5000 0.5000 0.0000
P1 0.0656 0.3229 0.5000
P2 0.4344 0.8229 0.5000
P3 0.5656 0.1771 0.5000
P4 0.9344 0.6771 0.5000
Pb1 0.1528 0.7772 0.0000
Pb2 0.2452 0.5306 0.5000
Pb3 0.2548 0.0306 0.5000
Pb4 0.3472 0.2772 0.0000
Pb5 0.6528 0.7228 0.0000
Pb6 0.7452 0.9694 0.5000
Pb7 0.7548 0.4694 0.5000
Pb8 0.8472 0.2228 0.0000
# E_form (uncorrected): 239 meV/atom
# spin magnetization: 0.00 μB per atom

=====

| no. | raw total energy (eV/atom) |
| --- | --- |
| 1 | -4.8796 |
| 2 | -4.2978 |
| 3 | -4.6351 |
| 4 | -4.6294 |
| 5 | -4.6927 |
| 6 | -4.1975 |
| 7 | -4.4593 |
| 8 | -4.2594 |
| 9 | -4.6495 |
| 10 | -4.5880 |
| 11 | -4.3051 |
| 12 | -4.6870 |
| 13 | -4.2004 |